No. 1
# SrNpCl5, relaxed, DFT PBE
data_SrNpCl5
_chemical_formula_sum 'Sr4 Np4 Cl20'
_space_group_name_H-M_alt 'C 1 2/c 1'
_space_group_IT_number 15
_cell_length_a 12.254
_cell_length_b 8.770
_cell_length_c 10.338
_cell_angle_alpha 90.00
_cell_angle_beta 115.54
_cell_angle_gamma 90.00
loop_
_space_group_symop_operation_xyz
'x,y,z'
'-x,-y,-z'
'-x,y,-z+1/2'
'x,-y,z+1/2'
'x+1/2,y+1/2,z'
'-x+1/2,-y+1/2,-z'
'-x+1/2,y+1/2,-z+1/2'
'x+1/2,-y+1/2,z+1/2'
loop_
_atom_site_label
_atom_site_type_symbol
_atom_site_fract_x
_atom_site_fract_y
_atom_site_fract_z
Sr1 Sr 0.000 0.043 0.250
Np1 Np 0.000 0.500 0.000
Cl1 Cl 0.000 0.389 0.250
Cl2 Cl 0.018 0.191 0.968
Cl3 Cl 0.241 0.463 0.626
# - total energy (hartree per atom) = -0.1985
# - uncorrected formation energy (eV per atom) = -1.992


No. 2
# Ga3CoCu2, relaxed, DFT PBE
data_Ga3CoCu2
_chemical_formula_sum 'Ga12 Co4 Cu8'
_space_group_name_H-M_alt 'C m m m'
_space_group_IT_number 65
_space_group_name_Hall '-C 2 2'
_cell_length_a 4.249
_cell_length_b 12.980
_cell_length_c 5.739
_cell_angle_alpha 90.00
_cell_angle_beta 90.00
_cell_angle_gamma 90.00
loop_
_atom_site_label
_atom_site_type_symbol
_atom_site_fract_x
_atom_site_fract_y
_atom_site_fract_z
Ga1 Ga 0.000 0.000 0.236
Ga2 Ga 0.000 0.328 0.242
Co1 Co 0.000 0.167 0.000
Cu1 Cu 0.000 0.157 0.500
Cu2 Cu 0.000 0.500 0.000
Cu3 Cu 0.000 0.500 0.500
# - calculated formation energy (eV/atom) = -0.09
# - total energy (hartree per atom) = -0.1526


No. 3
# LiEuScSn, relaxed, DFT PBE
data_LiEuScSn
_chemical_formula_sum 'Li4 Eu4 Sc4 Sn4'
_space_group_name_H-M_alt 'F -4 3 m'
_space_group_IT_number 216
_space_group_name_Hall 'F -4 2 3'
_cell_length_a 7.375
_cell_length_b 7.375
_cell_length_c 7.375
_cell_angle_alpha 90.00
_cell_angle_beta 90.00
_cell_angle_gamma 90.00
loop_
_atom_site_label
_atom_site_type_symbol
_atom_site_fract_x
_atom_site_fract_y
_atom_site_fract_z
Li1 Li 0.000 0.000 0.000
Eu1 Eu 0.250 0.250 0.750
Sc1 Sc 0.250 0.250 0.250
Sn1 Sn 0.000 0.000 0.500
# - calculated formation energy (eV/atom) = -0.36
# - total energy (hartree per atom) = -0.2203